[1]
Below is an optimized crystal structure of PaReAs, with properties calculated at the PBE level.

```
3
Lattice="0.0000 3.2781 3.2781 3.2781 0.0000 3.2781 3.2781 3.2781 0.0000" Properties=species:S:1:pos:R:3 pbc="T T T"
Pa 0.0000 0.0000 0.0000
Re 4.9172 4.9172 4.9172
As 1.6391 1.6391 1.6391
```

Values from the calculation:
Polymorph energy (0 for the lowest one) ... 0.639 eV/atom
E ... -8.21 eV/atom

[2]
Below is an optimized crystal structure of PaReAs, with properties calculated at the PBE level.

```
3
Lattice="0.0000 3.2076 3.2076 3.2076 0.0000 3.2076 3.2076 3.2076 0.0000" Properties=species:S:1:pos:R:3 pbc="T T T"
As 1.6038 1.6038 1.6038
Re 0.0000 0.0000 0.0000
Pa 4.8114 4.8114 4.8114
```

Values from the calculation:
Polymorph energy (0 for the lowest one) ... 0.000 eV/atom
E ... -8.85 eV/atom

[3]
Below is an optimized crystal structure of Pa5AsSe4, with properties calculated at the PBE level.

```
10
Lattice="4.1838 -5.4782 -1.5241 -1.7943 2.9873 6.1396 -6.2405 -2.7369 -1.8447" Properties=species:S:1:pos:R:3 pbc="T T T"
Pa -2.6151 -0.7441 0.9593
Pa -1.2313 -4.4886 1.8205
Pa 1.1977 -1.2485 2.3134
Se -5.2381 -1.5005 1.9090
Se -1.4154 -2.0014 3.2581
Se 1.3917 -3.7322 0.8708
Pa -1.6107 0.4929 4.7054
Pa -2.2356 -5.7257 -1.9255
Se -2.4310 -3.2313 -0.4783
As 0.0030 -0.0031 0.0057
```

Values from the calculation:
E ... -7.78 eV/atom

[4]
Below is an optimized crystal structure of Pa5AsSe5, with properties calculated at the PBE level.

```
11
Lattice="0.7865 5.9427 -3.6054 -2.9228 2.2684 -5.9367 -5.2486 1.5568 5.8974" Properties=species:S:1:pos:R:3 pbc="T T T"
Se -4.1818 3.8223 0.6294
Pa -1.0681 4.1055 -4.7711
Pa -5.2874 7.8903 -4.0229
Se -5.6857 6.6729 -1.4704
Pa -4.7486 2.6903 3.3153
Se -3.2031 5.9456 -4.2742
As 0.0000 0.0000 0.0000
Pa -2.6363 7.0776 -6.9601
Se -2.6243 0.7784 2.9487
Pa -2.0975 1.8776 0.3781
Se -1.6991 3.0949 -2.1743
```

Values from the calculation:
E ... -7.58 eV/atom

[5]
Below is an optimized crystal structure of PaAsSe, with properties calculated at the PBE level.

```
6
Lattice="-2.0220 2.0220 8.1955 2.0220 -2.0220 8.1955 2.0220 2.0220 -8.1955" Properties=species:S:1:pos:R:3 pbc="T T T"
Pa 0.0000 0.0000 10.3266
Se 0.0000 0.0000 3.0259
Se 0.0000 0.0000 13.3650
As 0.0000 2.0220 0.0000
As 2.0220 0.0000 0.0000
Pa 0.0000 0.0000 6.0643
```

Values from the calculation:
E ... -7.04 eV/atom

[6]
Below is an optimized crystal structure of Sm3PaAs4, with properties calculated at the PBE level.

```
8
Lattice="4.1750 -5.9002 0.0000 4.1750 5.9002 0.0000 0.0000 0.0000 4.1808" Properties=species:S:1:pos:R:3 pbc="T T T"
As 4.1750 3.0144 2.0904
Sm 2.0875 -2.9501 0.0000
Pa 0.0000 0.0000 2.0904
Sm 4.1750 0.0000 2.0904
Sm 2.0875 2.9501 0.0000
As 4.1750 -3.0144 2.0904
As 2.0237 0.0000 0.0000
As 6.3263 0.0000 0.0000
```

Values from the calculation:
E ... -6.70 eV/atom

What did the fourth record say?
Below is an optimized crystal structure of Pa5AsSe5, with properties calculated at the PBE level.

```
11
Lattice="0.7865 5.9427 -3.6054 -2.9228 2.2684 -5.9367 -5.2486 1.5568 5.8974" Properties=species:S:1:pos:R:3 pbc="T T T"
Se -4.1818 3.8223 0.6294
Pa -1.0681 4.1055 -4.7711
Pa -5.2874 7.8903 -4.0229
Se -5.6857 6.6729 -1.4704
Pa -4.7486 2.6903 3.3153
Se -3.2031 5.9456 -4.2742
As 0.0000 0.0000 0.0000
Pa -2.6363 7.0776 -6.9601
Se -2.6243 0.7784 2.9487
Pa -2.0975 1.8776 0.3781
Se -1.6991 3.0949 -2.1743
```

Values from the calculation:
E ... -7.58 eV/atom